The following is a DFT calculation (PBE) of a relaxed Li5RuN3 crystal.

Structure (POSCAR):
```
Li5RuN3
1.0
5.458 -2.435 0.000
5.458 2.435 0.000
-2.123 0.000 6.483
Li Ru N
10 2 6
Direct
0.046 0.600 0.902 Li
0.092 0.570 0.429 Li
0.206 0.794 0.750 Li
0.400 0.954 0.598 Li
0.430 0.908 0.071 Li
0.570 0.092 0.929 Li
0.600 0.046 0.402 Li
0.794 0.206 0.250 Li
0.908 0.430 0.571 Li
0.954 0.400 0.098 Li
0.291 0.709 0.250 Ru
0.709 0.291 0.750 Ru
0.115 0.195 0.823 N
0.195 0.115 0.323 N
0.500 0.500 0.000 N
0.500 0.500 0.500 N
0.805 0.885 0.677 N
0.885 0.805 0.177 N
```

Formation energy from raw total energies, eV/atom: -0.25
Energy, eV per atom: -5.12
Space group: No. 15